YSiHRh after structural relaxation. Source: the Alexandria database, functional PBE.

The structure in CIF format:
```
data_YSiHRh
_symmetry_space_group_name_H-M 'P 4/n m m'
_symmetry_Int_Tables_number 129
_cell_length_a 4.013
_cell_length_b 4.013
_cell_length_c 7.287
_cell_angle_alpha 90.00
_cell_angle_beta 90.00
_cell_angle_gamma 90.00
loop_
_symmetry_equiv_pos_as_xyz
'x,y,z'
'-x,-y,-z'
'-y+1/2,x,z'
'y+1/2,-x,-z'
'-x+1/2,-y+1/2,z'
'x+1/2,y+1/2,-z'
'y,-x+1/2,z'
'-y,x+1/2,-z'
'x+1/2,-y,-z'
'-x+1/2,y,z'
'-y,-x,-z'
'y,x,z'
'-x,y+1/2,-z'
'x,-y+1/2,z'
'y+1/2,x+1/2,-z'
'-y+1/2,-x+1/2,z'
loop_
_atom_site_label
_atom_site_fract_x
_atom_site_fract_y
_atom_site_fract_z
Y1 0.250 0.250 0.154
Si1 0.250 0.250 0.680
H1 0.250 0.750 0.000
Rh1 0.250 0.750 0.500
```

Calculated values
calculated total energy: -52.715 eV for the cell shown
density of states at the Fermi level: 0.370 states/eV per atom



RuPbBr2 after structural relaxation. Source: the Alexandria database, functional PBE.

The structure in CIF format:
```
data_RuPbBr2
_symmetry_space_group_name_H-M 'C m m m'
_symmetry_Int_Tables_number 65
_symmetry_space_group_name_Hall '-C 2 2'
_cell_length_a 3.396
_cell_length_b 6.409
_cell_length_c 9.542
_cell_angle_alpha 90.00
_cell_angle_beta 90.00
_cell_angle_gamma 90.00
loop_
_atom_site_label
_atom_site_fract_x
_atom_site_fract_y
_atom_site_fract_z
Ru1 0.000 0.000 0.000
Pb1 0.000 0.000 0.500
Br1 0.000 0.500 0.196
```

Calculated values
E above lowest polymorph: 309 meV per atom
E_form (uncorrected): 292 meV/atom
density of states at the Fermi level: 0.713 states/eV per atom



LiH3Pt2 after structural relaxation. Source: the Alexandria database, functional PBE.

The structure in CIF format:
```
data_LiH3Pt2
_symmetry_space_group_name_H-M 'C m c m'
_symmetry_Int_Tables_number 63
_symmetry_space_group_name_Hall '-C 2c 2'
_cell_length_a 7.430
_cell_length_b 5.607
_cell_length_c 5.510
_cell_angle_alpha 90.00
_cell_angle_beta 90.00
_cell_angle_gamma 90.00
loop_
_atom_site_label
_atom_site_fract_x
_atom_site_fract_y
_atom_site_fract_z
Li1 0.000 0.160 0.250
H1 0.000 0.483 0.750
H2 0.174 0.088 0.750
Pt1 0.198 0.500 0.000
```

Calculated values
calculated total energy: -100.622 eV for the cell shown
density of states at the Fermi level: 0.203 states/eV per atom



SiNi12Sb3 after structural relaxation. Source: the Alexandria database, functional PBE.

The structure in CIF format:
```
data_SiNi12Sb3
_symmetry_space_group_name_H-M 'P 4/m m m'
_symmetry_Int_Tables_number 123
_symmetry_space_group_name_Hall '-P 4 2'
_cell_length_a 3.691
_cell_length_b 3.691
_cell_length_c 14.612
_cell_angle_alpha 90.00
_cell_angle_beta 90.00
_cell_angle_gamma 90.00
loop_
_atom_site_label
_atom_site_fract_x
_atom_site_fract_y
_atom_site_fract_z
Si1 0.000 0.000 0.000
Ni1 0.000 0.500 0.112
Ni2 0.000 0.500 0.371
Ni3 0.500 0.500 0.000
Ni4 0.500 0.500 0.242
Ni5 0.500 0.500 0.500
Sb1 0.000 0.000 0.242
Sb2 0.000 0.000 0.500
```

Calculated values
E_form (uncorrected): -209 meV/atom
density of states at the Fermi level: 0.662 states/eV per atom



Ca3BiO4 after structural relaxation. Source: the Alexandria database, functional PBE.

The structure in CIF format:
```
data_Ca3BiO4
_symmetry_space_group_name_H-M 'P m m n'
_symmetry_Int_Tables_number 59
_cell_length_a 4.815
_cell_length_b 8.692
_cell_length_c 6.766
_cell_angle_alpha 90.00
_cell_angle_beta 90.00
_cell_angle_gamma 90.00
loop_
_symmetry_equiv_pos_as_xyz
'x,y,z'
'-x,-y,-z'
'-x+1/2,-y+1/2,z'
'x+1/2,y+1/2,-z'
'x+1/2,-y,-z'
'-x+1/2,y,z'
'-x,y+1/2,-z'
'x,-y+1/2,z'
loop_
_atom_site_label
_atom_site_fract_x
_atom_site_fract_y
_atom_site_fract_z
Ca1 0.250 0.015 0.170
Ca2 0.250 0.750 0.655
Bi1 0.250 0.250 0.740
O1 0.250 0.250 0.317
O2 0.250 0.519 0.825
O3 0.250 0.750 0.305
```

Calculated values
E_form (uncorrected): -2255 meV/atom
density of states at the Fermi level: 0.251 states/eV per atom



CoGeAsPt after structural relaxation. Source: the Alexandria database, functional PBE.

The structure in CIF format:
```
data_CoGeAsPt
_symmetry_space_group_name_H-M 'P 4 m m'
_symmetry_Int_Tables_number 99
_symmetry_space_group_name_Hall 'P 4 -2'
_cell_length_a 3.398
_cell_length_b 3.398
_cell_length_c 5.191
_cell_angle_alpha 90.00
_cell_angle_beta 90.00
_cell_angle_gamma 90.00
loop_
_atom_site_label
_atom_site_fract_x
_atom_site_fract_y
_atom_site_fract_z
Co1 0.000 0.000 0.000
Ge1 0.000 0.000 0.477
As1 0.500 0.500 0.129
Pt1 0.500 0.500 0.652
```

Calculated values
E above lowest polymorph: 136 meV per atom
calculated formation energy: -17 kJ per mole of atoms
density of states at the Fermi level: 0.224 states/eV per atom



Sr4SbAsBr2 after structural relaxation. Source: the Alexandria database, functional PBE.

The structure in CIF format:
```
data_Sr4SbAsBr2
_symmetry_space_group_name_H-M 'P 1 2/m 1'
_symmetry_Int_Tables_number 10
_symmetry_space_group_name_Hall '-P 2y'
_cell_length_a 7.979
_cell_length_b 4.680
_cell_length_c 8.148
_cell_angle_alpha 90.00
_cell_angle_beta 109.92
_cell_angle_gamma 90.00
loop_
_atom_site_label
_atom_site_fract_x
_atom_site_fract_y
_atom_site_fract_z
Sr1 0.216 0.000 0.230
Sr2 0.220 0.500 0.751
Sb1 0.000 0.000 0.500
As1 0.000 0.500 0.000
Br1 0.500 0.000 0.000
Br2 0.500 0.500 0.500
```

Calculated values
E_form (uncorrected): -1510 meV/atom



Ga2P2O7 after structural relaxation. Source: the Alexandria database, functional PBE.

The structure in CIF format:
```
data_Ga2P2O7
_symmetry_space_group_name_H-M 'C 1 2/m 1'
_symmetry_Int_Tables_number 12
_symmetry_space_group_name_Hall '-C 2y'
_cell_length_a 6.801
_cell_length_b 9.000
_cell_length_c 4.568
_cell_angle_alpha 90.00
_cell_angle_beta 102.58
_cell_angle_gamma 90.00
loop_
_atom_site_label
_atom_site_fract_x
_atom_site_fract_y
_atom_site_fract_z
Ga1 0.000 0.187 0.000
P1 0.215 0.500 0.413
O1 0.000 0.500 0.500
O2 0.129 0.000 0.281
O3 0.230 0.357 0.233
```

Calculated values
E_form (uncorrected): -1719 meV/atom
density of states at the Fermi level: 0.296 states/eV per atom



Rb2Sn2Bi after structural relaxation. Source: the Alexandria database, functional PBE.

The structure in CIF format:
```
data_Rb2Sn2Bi
_symmetry_space_group_name_H-M 'I m m m'
_symmetry_Int_Tables_number 71
_symmetry_space_group_name_Hall '-I 2 2'
_cell_length_a 5.548
_cell_length_b 6.238
_cell_length_c 11.928
_cell_angle_alpha 90.00
_cell_angle_beta 90.00
_cell_angle_gamma 90.00
loop_
_atom_site_label
_atom_site_fract_x
_atom_site_fract_y
_atom_site_fract_z
Rb1 0.000 0.000 0.205
Sn1 0.000 0.269 0.500
Bi1 0.000 0.500 0.000
```

Calculated values
E above lowest polymorph: 0 meV per atom
calculated formation energy: -17 kJ per mole of atoms
density of states at the Fermi level: 0.663 states/eV per atom



La3MnN3 after structural relaxation. Source: the Alexandria database, functional PBE.

The structure in CIF format:
```
data_La3MnN3
_symmetry_space_group_name_H-M 'C m c m'
_symmetry_Int_Tables_number 63
_symmetry_space_group_name_Hall '-C 2c 2'
_cell_length_a 8.779
_cell_length_b 10.514
_cell_length_c 5.344
_cell_angle_alpha 90.00
_cell_angle_beta 90.00
_cell_angle_gamma 90.00
loop_
_atom_site_label
_atom_site_fract_x
_atom_site_fract_y
_atom_site_fract_z
La1 0.000 0.110 0.250
La2 0.214 0.378 0.250
Mn1 0.000 0.309 0.750
N1 0.000 0.124 0.750
N2 0.211 0.364 0.750
```

Calculated values
E_form (uncorrected): -1024 meV/atom
density of states at the Fermi level: 0.609 states/eV per atom



Sr8CuPt2 after structural relaxation. Source: the Alexandria database, functional PBE.

The structure in CIF format:
```
data_Sr8CuPt2
_symmetry_space_group_name_H-M 'P -3'
_symmetry_Int_Tables_number 147
_symmetry_space_group_name_Hall '-P 3'
_cell_length_a 9.5400
_cell_length_b 9.5400
_cell_length_c 6.3553
_cell_angle_alpha 90.00
_cell_angle_beta 90.00
_cell_angle_gamma 120.00
loop_
_atom_site_label
_atom_site_fract_x
_atom_site_fract_y
_atom_site_fract_z
Sr1 0.1583 0.3181 0.2510
Sr2 0.3333 0.6667 0.7526
Cu1 0.0000 0.0000 0.5000
Pt1 0.3333 0.6667 0.2543
```

Calculated values
calculated formation energy: -20 kJ per mole of atoms
density of states at the Fermi level: 0.808 states/eV per atom



CoTe2P after structural relaxation. Source: the Alexandria database, functional PBE.

The structure in CIF format:
```
data_CoTe2P
_symmetry_space_group_name_H-M 'P 4/m m m'
_symmetry_Int_Tables_number 123
_symmetry_space_group_name_Hall '-P 4 2'
_cell_length_a 3.314
_cell_length_b 3.314
_cell_length_c 6.950
_cell_angle_alpha 90.00
_cell_angle_beta 90.00
_cell_angle_gamma 90.00
loop_
_atom_site_label
_atom_site_fract_x
_atom_site_fract_y
_atom_site_fract_z
Co1 0.000 0.000 0.000
Te1 0.500 0.500 0.226
P1 0.000 0.000 0.500
```

Calculated values
E_form (uncorrected): 566 meV/atom
density of states at the Fermi level: 0.986 states/eV per atom